## Ac8As4Se3N (PBE)

Data for an optimized crystal structure of Ac8As4Se3N.

Summary:
For the volume, the calculation gives 498 Å³/cell. Its spin magnetization is 0.000 μB per atom. The uncorrected formation energy is -1.56 eV per atom. As for the symmetry: C2/m. The raw total energy is -5.947 eV per atom.

Unit cell a=8.861 b=8.861 c=8.860 alpha=119.45 beta=119.45 gamma=60.54
Atoms (fractional coordinates):
Ac 0.232 0.763 0.737
Ac 0.237 0.768 0.263
Ac 0.238 0.238 0.733
Ac 0.248 0.248 0.252
Ac 0.752 0.752 0.748
Ac 0.762 0.762 0.267
Ac 0.763 0.232 0.737
Ac 0.768 0.237 0.263
As 0.000 0.000 0.000
As 0.000 0.500 0.500
As 0.500 0.000 0.500
As 0.500 0.500 0.000
Se 0.000 0.500 0.000
Se 0.500 0.000 0.000
Se 0.500 0.500 0.500
N 0.000 0.000 0.500

## PaPb2S4I (PBE)

Data for an optimized crystal structure of PaPb2S4I.

Summary:
For the volume, the calculation gives 249 Å³/cell. Its spin magnetization is 0.000 μB per atom. The uncorrected formation energy is -0.98 eV per atom. As for the symmetry: C2/m. The raw total energy is -5.353 eV per atom.

Unit cell a=6.952 b=6.952 c=10.359 alpha=117.00 beta=117.00 gamma=34.43
Atoms (fractional coordinates):
Pa 0.000 0.000 0.000
Pb 0.206 0.206 0.744
Pb 0.794 0.794 0.256
S 0.157 0.157 0.273
S 0.391 0.391 0.050
S 0.609 0.609 0.950
S 0.843 0.843 0.727
I 0.500 0.500 0.500

## TlAgC (PBE)

Data for an optimized crystal structure of TlAgC.

Summary:
The value obtained for the calculated formation energy is 2116 meV/atom. For the volume, the calculation gives 176 Å³/cell. Its spin magnetization is 0.014 μB per atom. As for the symmetry: P6_3/mmc. The raw total energy is -2.698 eV per atom.

Unit cell a=4.971 b=4.971 c=8.219 alpha=90.00 beta=90.00 gamma=120.00
Atoms (fractional coordinates):
Tl 0.000 0.000 0.250
Tl 0.000 0.000 0.750
Ag 0.333 0.667 0.250
Ag 0.667 0.333 0.750
C 0.000 0.000 0.000
C 0.000 0.000 0.500

## ErTmSb2 (PBE)

Data for an optimized crystal structure of ErTmSb2.

Summary:
For the volume, the calculation gives 119 Å³/cell. The value obtained for the distance to the lowest polymorph of the same formula is 50 meV per atom. Its spin magnetization is 0.000 μB per atom. The uncorrected formation energy is -1.03 eV per atom. As for the symmetry: P-3m1. The raw total energy is -5.350 eV per atom.

Unit cell a=4.327 b=4.327 c=7.366 alpha=90.00 beta=90.00 gamma=120.00
Atoms (fractional coordinates):
Er 0.000 0.000 0.000
Tm 0.000 0.000 0.500
Sb 0.333 0.667 0.749
Sb 0.667 0.333 0.251

- Look up the raw total energy of the second one.
  -5.353 eV per atom

- The lowest volume belongs to which entry?
  ErTmSb2